No. 1
The following is a DFT calculation (PBE) of a relaxed structure of SrZrW4.

**Total magnetization**: 0.00 μB/cell
**SG**: F-43m, No. 216
**Crystal system**: cubic
**Energy relative to the elements**: 11.3 kcal/mol of atoms
**Total DFT energy (no corrections)**: -9.851 eV/atom

Lattice parameters (Å, degrees): 5.5288 5.5288 5.5288 60.00 60.00 60.00
Closest atoms and distances in Å follow each position.
Element x y z (fractional)
W1 0.3746 0.8762 0.3746  6 W 2.76-2.77
W2 0.3746 0.3746 0.3746  6 W 2.76-2.77
W3 0.8762 0.3746 0.3746  6 W 2.76-2.77
W4 0.3746 0.3746 0.8762  6 W 2.76-2.77
Sr1 0.0000 0.0000 0.0000  12 W 3.24, 4 Zr 3.39
Zr1 0.7500 0.7500 0.7500  12 W 3.24, 4 Sr 3.39

---

No. 2
The following is a DFT calculation (PBE) of a relaxed structure of KSc3B4O12.

**Total magnetization**: 2.04 μB/cell
**SG**: R32, No. 155
**Crystal system**: trigonal
**Energy relative to the elements, uncorrected**: -2647 meV per atom
**Total DFT energy (no corrections)**: -7.962 eV/atom

Lattice parameters (Å, degrees): 6.3836 6.3836 6.3836 102.32 102.32 102.32
Closest atoms and distances in Å follow each position.
Element x y z (fractional)
Sc1 0.5542 0.4458 0.0000  6 O 2.05-2.18
Sc2 0.4458 0.0000 0.5542  6 O 2.05-2.18
Sc3 0.0000 0.5542 0.4458  6 O 2.05-2.18
O1 0.9120 0.5000 0.0880  1 B 1.39
O2 0.0880 0.9120 0.5000  1 B 1.39
O3 0.4022 0.9783 0.2219  1 B 1.37
O4 0.5000 0.0880 0.9120  1 B 1.39
O5 0.9783 0.2219 0.4022  1 B 1.37
O6 0.7781 0.0217 0.5978  1 B 1.37
O7 0.2219 0.4022 0.9783  1 B 1.37
O8 0.6399 0.5000 0.3601  1 B 1.39
O9 0.3601 0.6399 0.5000  1 B 1.39
O10 0.5978 0.7781 0.0217  1 B 1.37
O11 0.5000 0.3601 0.6399  1 B 1.39
O12 0.0217 0.5978 0.7781  1 B 1.37
B1 0.0513 0.5000 0.9487  3 O 1.37-1.39
B2 0.5000 0.9487 0.0513  3 O 1.37-1.39
B3 0.5000 0.5000 0.5000  3 O 1.39
B4 0.9487 0.0513 0.5000  3 O 1.37-1.39
K1 0.0000 0.0000 0.0000  6 O 2.70

---

No. 3
The following is a DFT calculation (PBE) of a relaxed structure of RbV2S2.

**Total magnetization**: 0.00 μB/cell
**SG**: P4/mmm, No. 123
**Crystal system**: tetragonal
**Energy relative to the elements, uncorrected**: -787 meV per atom
**Total DFT energy (no corrections)**: -6.279 eV/atom

Lattice parameters (Å, degrees): 3.6246 3.6246 7.5569 90.00 90.00 90.00
Closest atoms and distances in Å follow each position.
Element x y z (fractional)
V1 0.0000 0.5000 0.5000  4 S 2.44, 4 V 2.56
V2 0.5000 0.0000 0.5000  4 S 2.44, 4 V 2.56
Rb1 0.0000 0.0000 0.0000  8 S 3.34, 4 Rb 3.62
S1 0.5000 0.5000 0.2836  4 V 2.44
S2 0.5000 0.5000 0.7164  4 V 2.44